The following is a DFT calculation (PBE) of crystalline UCdI6 at its relaxed geometry.

It has space group R-3 (No. 148, hexagonal axes), with a = 7.5552 Å, b = 7.5552 Å, c = 20.7731 Å, α = 90.00°, β = 90.00° and γ = 120.00°. The inequivalent atoms are U at (0.0000, 0.0000, 0.0000), Cd at (0.0000, 0.0000, 0.5000) and I at (0.0043, 0.3438, 0.7499).

The value obtained for the energy above the most stable polymorph in this dataset is 48 meV per atom. The uncorrected formation energy is -0.665 eV per atom.

The following is a DFT calculation (PBE) of crystalline GdCo4B at its relaxed geometry.

It has space group P6/mmm (No. 191), with a = 5.0262 Å, b = 5.0262 Å, c = 6.8304 Å, α = 90.00°, β = 90.00° and γ = 120.00°. The inequivalent atoms are Gd at (0.0000, 0.0000, 0.0000), Gd at (0.0000, 0.0000, 0.5000), Co at (0.0000, 0.5000, 0.2118), Co at (0.3333, 0.6667, 0.5000) and B at (0.3333, 0.6667, 0.0000).

For the calculated formation energy, the calculation gives -27.0 kJ per mole of atoms.

The following is a DFT calculation (PBE) of crystalline Pm3SmTh2P6 at its relaxed geometry.

It has space group C2/m (No. 12), with a = 18.013 Å, b = 4.138 Å, c = 8.256 Å, α = 90.00°, β = 103.26° and γ = 90.00°. The inequivalent atoms are Pm at (0.000, 0.000, 0.000), Pm at (0.166, 0.500, 0.334), Sm at (0.000, 0.000, 0.500), Th at (0.165, 0.500, 0.831), P at (0.001, 0.500, 0.750), P at (0.166, 0.000, 0.585) and P at (0.167, 0.000, 0.082).

For the calculated formation energy, the calculation gives -152.9 kJ per mole of atoms.

The following is a DFT calculation (PBE) of crystalline Nd12Tl6H at its relaxed geometry.

It has space group R-3 (No. 148, hexagonal axes), with a = 12.4773 Å, b = 12.4773 Å, c = 13.3409 Å, α = 90.00°, β = 90.00° and γ = 120.00°. The inequivalent atoms are Nd at (0.0365, 0.1859, 0.3815), Nd at (0.0401, 0.8530, 0.8828), Tl at (0.0017, 0.3982, 0.2510) and H at (0.0000, 0.0000, 0.5000).

The value obtained for the total DFT energy (no corrections) is -235.02 eV per cell.

The following is a DFT calculation (PBE) of crystalline Y4Ir2Pt at its relaxed geometry.

It has space group R-3m (No. 166, hexagonal axes), with a = 4.8535 Å, b = 4.8535 Å, c = 23.7905 Å, α = 90.00°, β = 90.00° and γ = 120.00°. The inequivalent atoms are Y at (0.0000, 0.0000, 0.1229), Y at (0.0000, 0.0000, 0.3734), Ir at (0.0000, 0.0000, 0.2502) and Pt at (0.0000, 0.0000, 0.5000).

For the calculated formation energy, the calculation gives -86.3 kJ per mole of atoms.

The following is a DFT calculation (PBE) of crystalline Ac2Zn3Cd at its relaxed geometry.

It has space group Fmmm (No. 69), with a = 7.988 Å, b = 9.622 Å, c = 16.674 Å, α = 90.00°, β = 90.00° and γ = 90.00°. The inequivalent atoms are Ac at (0.250, 0.000, 0.000), Ac at (0.250, 0.250, 0.250), Zn at (0.000, 0.000, 0.162), Zn at (0.000, 0.244, 0.081) and Cd at (0.000, 0.000, 0.334).

The value obtained for the energy above the most stable polymorph in this dataset is 0 meV per atom. For the calculated formation energy, the calculation gives -27.3 kJ per mole of atoms.

The following is a DFT calculation (PBE) of crystalline PmZn3Ni2 at its relaxed geometry.

It has space group R-3m (No. 166, hexagonal axes), with a = 6.0224 Å, b = 6.0224 Å, c = 19.2500 Å, α = 90.00°, β = 90.00° and γ = 120.00°. The inequivalent atoms are Pm at (0.0000, 0.0000, 0.2225), Zn at (0.0206, 0.5103, 0.2386), Ni at (0.0000, 0.0000, 0.0000) and Ni at (0.0000, 0.5000, 0.0000).

The value obtained for the energy above the most stable polymorph in this dataset is 316 meV per atom. For the calculated formation energy, the calculation gives -5.8 kJ per mole of atoms.

The following is a DFT calculation (PBE) of crystalline ScZn9Cu2 at its relaxed geometry.

It has space group I4_1/amd (No. 141, origin choice 2), with a = 10.414 Å, b = 10.414 Å, c = 6.645 Å, α = 90.00°, β = 90.00° and γ = 90.00°. The inequivalent atoms are Sc at (0.000, 0.250, 0.375), Zn at (0.000, 0.250, 0.875), Zn at (0.121, 0.047, 0.678) and Cu at (0.000, 0.000, 0.000).

The value obtained for the energy above the most stable polymorph in this dataset is 0 meV per atom. For the calculated formation energy, the calculation gives -15.7 kJ per mole of atoms.

Please write out number 7 again, unchanged.
The following is a DFT calculation (PBE) of crystalline PmZn3Ni2 at its relaxed geometry.

It has space group R-3m (No. 166, hexagonal axes), with a = 6.0224 Å, b = 6.0224 Å, c = 19.2500 Å, α = 90.00°, β = 90.00° and γ = 120.00°. The inequivalent atoms are Pm at (0.0000, 0.0000, 0.2225), Zn at (0.0206, 0.5103, 0.2386), Ni at (0.0000, 0.0000, 0.0000) and Ni at (0.0000, 0.5000, 0.0000).

The value obtained for the energy above the most stable polymorph in this dataset is 316 meV per atom. For the calculated formation energy, the calculation gives -5.8 kJ per mole of atoms.

What is the formula in the eighth record?
ScZn9Cu2